No. 1
# HgAsSe2, relaxed, DFT PBE
data_HgAsSe2
_cell_length_a 5.647
_cell_length_b 4.400
_cell_length_c 8.786
_cell_angle_alpha 90.00
_cell_angle_beta 98.21
_cell_angle_gamma 90.00
_space_group_name_H-M_alt 'P 1 21 1'
_space_group_IT_number 4
loop_
_space_group_symop_operation_xyz
'x,y,z'
'-x,y+1/2,-z'
loop_
_atom_site_label
_atom_site_type_symbol
_atom_site_fract_x
_atom_site_fract_y
_atom_site_fract_z
Hg1 Hg 0.217 0.000 0.376
As1 As 0.293 0.142 0.872
Se1 Se 0.281 0.520 0.088
Se2 Se 0.287 0.475 0.646
# **E above lowest polymorph**: 0.000 eV/atom
# **Uncorrected formation energy**: -0.07 eV per atom
# **Total magnetic moment**: 0.0 Bohr magnetons per cell
# **E_tot**: -3.0468 eV per atom
# **Theoretical density**: 6.66 g cm⁻³



No. 2
# MnCdRu2, relaxed, DFT PBE
data_MnCdRu2
_cell_length_a 6.294
_cell_length_b 6.294
_cell_length_c 6.294
_cell_angle_alpha 90.00
_cell_angle_beta 90.00
_cell_angle_gamma 90.00
_space_group_name_H-M_alt 'F -4 3 m'
_space_group_IT_number 216
_space_group_name_Hall 'F -4 2 3'
loop_
_atom_site_label
_atom_site_type_symbol
_atom_site_fract_x
_atom_site_fract_y
_atom_site_fract_z
Mn1 Mn 0.000 0.000 0.000
Cd1 Cd 0.250 0.250 0.750
Ru1 Ru 0.000 0.000 0.500
Ru2 Ru 0.250 0.250 0.250
# **Total magnetic moment**: 19.2 Bohr magnetons per cell
# **E_tot**: -6.7236 eV per atom
# **Theoretical density**: 9.84 g cm⁻³
# **Formation enthalpy at 0 K**: 0.436 eV/atom